First-principles (SCAN) data for K2Cd at its PBEsol-relaxed geometry, as listed in Alexandria.

POSCAR file:
```
K2Cd
1.0
-2.594 1.872 -2.715
-3.026 0.022 2.907
5.249 6.037 2.390
K Cd
2 1
direct
0.136 0.136 0.272
0.864 0.864 0.728
0.500 0.500 0.000
```

Values from the calculation:
Crystal system = tetragonal
Space-group type = I4/mmm (139)
Energy above the lowest structure with this stoichiometry = 24 meV per atom

First-principles (SCAN) data for K3Cd at its PBEsol-relaxed geometry, as listed in Alexandria.

POSCAR file:
```
K3Cd
1.0
-1.158 5.597 0.357
-4.409 -1.137 3.525
3.516 0.438 4.540
K Cd
3 1
direct
0.500 0.000 0.500
0.500 0.500 0.000
0.000 0.500 0.500
0.000 0.000 0.000
```

Values from the calculation:
Crystal system = tetragonal
Space-group type = P4/mmm (123)

First-principles (SCAN) data for K5Cd at its PBEsol-relaxed geometry, as listed in Alexandria.

POSCAR file:
```
K5Cd
1.0
-1.551 1.744 -3.713
-3.822 0.829 1.985
6.058 15.999 4.984
K Cd
5 1
direct
0.000 0.000 0.887
0.000 0.000 0.113
0.500 0.500 0.696
0.500 0.500 0.304
0.000 0.000 0.500
0.500 0.500 0.000
```

Values from the calculation:
Crystal system = tetragonal
Space-group type = P4/mmm (123)
Energy above the lowest structure with this stoichiometry = 0 meV per atom

For the records above, the corresponding uncorrected energy values read -0.576 -0.508 -0.441 hartree per atom.